## A
The following is a DFT calculation (PBE) of a geometry-optimized YBeNF2 structure.

## Properties
Magnetic moment in μB per formula unit: 0.00

Cell: 3.4637 3.4637 4.1853 Å, 90.00 90.00 90.00°
Last column: nearest neighbours and their distance in Å.
Space group P4/mmm (No. 123)
Unique sites:
Y 0.0000 0.0000 0.0000 [1 per cell]  4 N 2.45, 8 F 2.72
Be 0.5000 0.5000 0.5000 [1 per cell]  4 F 1.73
N 0.5000 0.5000 0.0000 [1 per cell]  2 Be 2.09
F 0.0000 0.5000 0.5000 [2 per cell]  2 Be 1.73

## B
The following is a DFT calculation (PBE) of a geometry-optimized YBeNF2 structure.

## Properties
Magnetic moment in μB per formula unit: 0.25

Cell: 4.2539 4.2539 4.7211 Å, 90.00 90.00 90.00°
Last column: nearest neighbours and their distance in Å.
Space group P4/mmm (No. 123)
Unique sites:
Y 0.0000 0.0000 0.0000 [1 per cell]  4 F 2.13, 2 N 2.36
Be 0.5000 0.5000 0.5000 [1 per cell]  4 N 3.01, 8 F 3.18
N 0.0000 0.0000 0.5000 [1 per cell]  2 Y 2.36
F 0.0000 0.5000 0.0000 [2 per cell]  2 Y 2.13

Stability check: which of them is least stable? B.

## A
The following is a DFT calculation (PBE) of a geometry-optimized YBeN2F structure.

## Properties
Magnetic moment in μB per formula unit: 2.03

Cell: 4.5100 4.5100 4.2195 Å, 90.00 90.00 90.00°
Last column: nearest neighbours and their distance in Å.
Space group P4/mmm (No. 123)
Unique sites:
Y 0.0000 0.0000 0.0000 [1 per cell]  2 F 2.11, 4 N 2.25
Be 0.5000 0.5000 0.5000 [1 per cell]  8 N 3.09, 4 F 3.19
N 0.0000 0.5000 0.0000 [2 per cell]  2 Y 2.25
F 0.0000 0.0000 0.5000 [1 per cell]  2 Y 2.11

## B
The following is a DFT calculation (PBE) of a geometry-optimized YBeN2F structure.

## Properties
Magnetic moment in μB per formula unit: 0.00

Cell: 3.5276 3.5276 3.8957 Å, 90.00 90.00 90.00°
Last column: nearest neighbours and their distance in Å.
Space group P4/mmm (No. 123)
Unique sites:
Y 0.0000 0.0000 0.0000 [1 per cell]  4 F 2.49, 8 N 2.63
Be 0.5000 0.5000 0.5000 [1 per cell]  4 N 1.76, 2 F 1.95
N 0.0000 0.5000 0.5000 [2 per cell]  2 Be 1.76
F 0.5000 0.5000 0.0000 [1 per cell]  2 Be 1.95

Stability check: which of them is least stable? A.

## A
The following is a DFT calculation (PBE) of a geometry-optimized BeZnN2F structure.

## Properties
Magnetic moment in μB per formula unit: 1.12

Cell: 3.8145 3.8145 3.9781 Å, 90.00 90.00 90.00°
Last column: nearest neighbours and their distance in Å.
Space group P4/mmm (No. 123)
Unique sites:
Be 0.0000 0.0000 0.0000 [1 per cell]  4 F 2.70, 8 N 2.76
Zn 0.5000 0.5000 0.5000 [1 per cell]  4 N 1.91, 2 F 1.99
N 0.0000 0.5000 0.5000 [2 per cell]  2 Zn 1.91
F 0.5000 0.5000 0.0000 [1 per cell]  2 Zn 1.99

## B
The following is a DFT calculation (PBE) of a geometry-optimized BeZnN2F structure.

## Properties
Magnetic moment in μB per formula unit: 0.00

Cell: 3.3260 3.3260 4.1980 Å, 90.00 90.00 90.00°
Last column: nearest neighbours and their distance in Å.
Space group P4/mmm (No. 123)
Unique sites:
Be 0.0000 0.0000 0.0000 [1 per cell]  4 N 1.66
Zn 0.5000 0.5000 0.5000 [1 per cell]  4 F 2.35
N 0.0000 0.5000 0.0000 [2 per cell]  2 Be 1.66
F 0.0000 0.0000 0.5000 [1 per cell]  2 Be 2.10

Stability check: which of them is least stable? A.

## A
The following is a DFT calculation (PBE) of a geometry-optimized ZrBeN2F structure.

## Properties
Magnetic moment in μB per formula unit: 0.19

Cell: 4.2287 4.2287 4.0707 Å, 90.00 90.00 90.00°
Last column: nearest neighbours and their distance in Å.
Space group P4/mmm (No. 123)
Unique sites:
Zr 0.0000 0.0000 0.0000 [1 per cell]  2 F 2.04, 4 N 2.11
Be 0.5000 0.5000 0.5000 [1 per cell]  8 N 2.93, 4 F 2.99
N 0.0000 0.5000 0.0000 [2 per cell]  2 Zr 2.11
F 0.0000 0.0000 0.5000 [1 per cell]  2 Zr 2.04

## B
The following is a DFT calculation (PBE) of a geometry-optimized ZrBeN2F structure.

## Properties
Magnetic moment in μB per formula unit: 0.00

Cell: 3.6276 3.6276 3.3747 Å, 90.00 90.00 90.00°
Last column: nearest neighbours and their distance in Å.
Space group P4/mmm (No. 123)
Unique sites:
Zr 0.0000 0.0000 0.0000 [1 per cell]  8 N 2.48, 4 F 2.57
Be 0.5000 0.5000 0.5000 [1 per cell]  2 F 1.69, 4 N 1.81
N 0.0000 0.5000 0.5000 [2 per cell]  2 Be 1.81
F 0.5000 0.5000 0.0000 [1 per cell]  2 Be 1.69

Stability check: which of them is least stable? A.

## A
The following is a DFT calculation (PBE) of a geometry-optimized ZrBeNF2 structure.

## Properties
Magnetic moment in μB per formula unit: 0.00

Cell: 4.1986 4.1986 4.2714 Å, 90.00 90.00 90.00°
Last column: nearest neighbours and their distance in Å.
Space group P4/mmm (No. 123)
Unique sites:
Zr 0.0000 0.0000 0.0000 [1 per cell]  4 F 2.10, 2 N 2.14
Be 0.5000 0.5000 0.5000 [1 per cell]  4 N 2.97, 8 F 2.99
N 0.0000 0.0000 0.5000 [1 per cell]  2 Zr 2.14
F 0.0000 0.5000 0.0000 [2 per cell]  2 Zr 2.10

## B
The following is a DFT calculation (PBE) of a geometry-optimized ZrBeNF2 structure.

## Properties
Magnetic moment in μB per formula unit: 0.00

Cell: 3.2035 3.2035 5.5949 Å, 90.00 90.00 90.00°
Last column: nearest neighbours and their distance in Å.
Space group P4/mmm (No. 123)
Unique sites:
Zr 0.0000 0.0000 0.0000 [1 per cell]  4 N 2.27
Be 0.5000 0.5000 0.5000 [1 per cell]  4 F 1.60
N 0.5000 0.5000 0.0000 [1 per cell]  4 Zr 2.27
F 0.0000 0.5000 0.5000 [2 per cell]  2 Be 1.60

Stability check: which of them is least stable? A.

## A
The following is a DFT calculation (PBE) of a geometry-optimized NaBe3F structure.

## Properties
Magnetic moment in μB per formula unit: 0.00

Cell: 4.0514 4.0514 4.0514 Å, 90.00 90.00 90.00°
Last column: nearest neighbours and their distance in Å.
Space group Pm-3m (No. 221)
Unique sites:
Na 0.0000 0.0000 0.0000 [1 per cell]  12 Be 2.86
Be 0.0000 0.5000 0.5000 [3 per cell]  2 F 2.03
F 0.5000 0.5000 0.5000 [1 per cell]  6 Be 2.03

## B
The following is a DFT calculation (PBE) of a geometry-optimized NaBe3F structure.

## Properties
Magnetic moment in μB per formula unit: 0.00

Cell: 4.9165 4.9165 4.9165 Å, 90.00 90.00 90.00°
Last column: nearest neighbours and their distance in Å.
Space group Pm-3m (No. 221)
Unique sites:
Na 0.0000 0.0000 0.0000 [1 per cell]  6 Be 2.46
Be 0.0000 0.0000 0.5000 [3 per cell]  2 Na 2.46
F 0.5000 0.5000 0.5000 [1 per cell]  12 Be 3.48

Stability check: which of them is least stable? B.

## A
The following is a DFT calculation (PBE) of a geometry-optimized Na3BeF6 structure.

## Properties
Magnetic moment in μB per formula unit: 1.05

Cell: 9.3933 5.4868 5.4829 Å, 90.00 123.47 90.00°
Last column: nearest neighbours and their distance in Å.
Space group C2/m (No. 12)
Unique sites:
Na 0.0000 0.0000 0.0000 [2 per cell]  6 F 2.25-2.33
Na 0.2441 0.0000 0.7197 [4 per cell]  5 F 2.30-2.40
Be 0.0000 0.5000 0.5000 [2 per cell]  6 F 1.75-1.78
F 0.0605 0.2759 0.3477 [8 per cell]  1 Be 1.75
F 0.2102 0.5000 0.8234 [4 per cell]  1 Be 1.78

## B
The following is a DFT calculation (PBE) of a geometry-optimized Na3BeF6 structure.

## Properties
Magnetic moment in μB per formula unit: 1.05

Cell: 5.4141 5.6321 9.3313 Å, 90.00 125.19 90.00°
Last column: nearest neighbours and their distance in Å.
Space group P2_1/c (No. 14)
Unique sites:
Na 0.0000 0.0000 0.0000 [2 per cell]  6 F 2.26-2.31
Na 0.2304 0.0584 0.7479 [4 per cell]  6 F 2.31-2.53
Be 0.5000 0.0000 0.5000 [2 per cell]  6 F 1.73-1.79
F 0.1889 0.1760 0.4516 [4 per cell]  1 Be 1.77
F 0.2697 0.7397 0.4349 [4 per cell]  1 Be 1.79
F 0.3944 0.0407 0.2881 [4 per cell]  1 Be 1.73

Stability check: which of them is least stable? A.

## A
The following is a DFT calculation (PBE) of a geometry-optimized Na2BeF structure.

## Properties
Magnetic moment in μB per formula unit: 0.00

Cell: 6.7550 6.7550 6.7550 Å, 90.00 90.00 90.00°
Last column: nearest neighbours and their distance in Å.
Space group Fm-3m (No. 225)
Unique sites:
Na 0.2500 0.2500 0.2500 [8 per cell]  4 F 2.93, 4 Be 2.93
Be 0.0000 0.0000 0.0000 [4 per cell]  8 Na 2.93
F 0.0000 0.0000 0.5000 [4 per cell]  8 Na 2.93

## B
The following is a DFT calculation (PBE) of a geometry-optimized Na2BeF structure.

## Properties
Magnetic moment in μB per formula unit: 0.00

Cell: 6.7359 6.7359 7.5351 Å, 90.00 90.00 90.00°
Last column: nearest neighbours and their distance in Å.
Space group I-42d (No. 122)
Unique sites:
Na 0.1521 0.7500 0.1250 [8 per cell]  2 F 2.18
Be 0.0000 0.0000 0.5000 [4 per cell]  4 Na 3.04
F 0.0000 0.0000 0.0000 [4 per cell]  4 Na 2.18

Stability check: which of them is least stable? A.